VASP calculation (PBE+U) on crystalline BeCoGe2O6 at its relaxed geometry.

```
BeCoGe2O6
1.0
4.9068 -4.7506 0.0000
4.9068 4.7506 0.0000
-1.9976 0.0000 4.9062
Be Co Ge O
2 2 4 12
Direct
0.1898 0.8102 0.7500
0.8102 0.1898 0.2500
0.1121 0.8879 0.2500
0.8879 0.1121 0.7500
0.2192 0.4022 0.3060
0.4022 0.2192 0.8060
0.5978 0.7808 0.1940
0.7808 0.5978 0.6940
0.0258 0.2004 0.1614
0.1497 0.6477 0.4460
0.2004 0.0258 0.6614
0.3052 0.4179 0.0245
0.3523 0.8503 0.0540
0.4179 0.3052 0.5245
0.5821 0.6948 0.4755
0.6477 0.1497 0.9460
0.6948 0.5821 0.9755
0.7996 0.9742 0.3386
0.8503 0.3523 0.5540
0.9742 0.7996 0.8386
```

Results
The value obtained for the density of states at the Fermi level is 0.00 states/eV/f.u. The value obtained for the total energy is -65.0 eV per formula unit. As for the space-group type: No. 15.